{
  "formula": "MnCr4Hg",
  "functional": "PBE",
  "state": "optimized geometry",
  "cell": [[0.000, 3.414, 3.414], [3.414, 0.000, 3.414], [3.414, 3.414, 0.000]],
  "species": ["Mn", "Cr", "Cr", "Cr", "Cr", "Hg"],
  "frac_coords": [[0.000, 0.000, 0.000], [0.127, 0.624, 0.624], [0.624, 0.127, 0.624], [0.624, 0.624, 0.127], [0.624, 0.624, 0.624], [0.250, 0.250, 0.250]],
  "volume_a3_per_atom": 13.26,
  "delta_e_f_ev_per_atom": 0.4117,
  "total_energy_ev_per_atom": -7.58,
  "magmom_total_mub_per_cell": 1.12,
  "n_ef_per_ev_cell": 7.16
}